i.
Dy2Er3Lu2Ni2Te2, relaxed, DFT PBE; magnetic moment = 0.00 μB per atom
1.0
-1.903 7.716 4.752
1.903 -7.716 4.752
1.903 7.716 -4.752
Dy Er Lu Ni Te
2 3 2 2 2
direct
0.692 0.378 0.315 Dy
0.063 0.378 0.685 Dy
0.001 0.001 0.000 Er
0.714 0.581 0.133 Er
0.447 0.581 0.867 Er
0.082 0.728 0.354 Lu
0.373 0.728 0.646 Lu
0.308 0.072 0.235 Ni
0.837 0.072 0.765 Ni
0.337 0.337 0.000 Te
0.733 0.233 0.500 Te

ii.
Dy2Er3Lu2Ni2Te2, relaxed, DFT PBE; magnetic moment = 0.00 μB per atom
1.0
2.066 3.155 8.452
-0.934 6.128 -6.873
-2.861 -5.644 6.754
Dy Er Lu Ni Te
2 3 2 2 2
direct
0.624 0.270 0.354 Dy
0.917 0.270 0.646 Dy
0.000 0.000 0.000 Er
0.938 0.623 0.315 Er
0.308 0.623 0.685 Er
0.553 0.418 0.135 Lu
0.283 0.418 0.865 Lu
0.169 0.931 0.238 Ni
0.693 0.931 0.762 Ni
0.659 0.659 0.000 Te
0.268 0.768 0.500 Te

The winner here is ii, beating the second structure by 9 meV/atom.

i.
Dy2Er3Lu2Ni2Te2, relaxed, DFT PBE; magnetic moment = 0.00 μB per atom
1.0
5.132 -4.236 6.459
-8.530 2.814 2.306
6.367 -5.694 -3.612
Dy Er Lu Ni Te
2 3 2 2 2
direct
0.692 0.377 0.315 Dy
0.062 0.377 0.685 Dy
0.000 0.000 0.000 Er
0.083 0.729 0.354 Er
0.375 0.729 0.646 Er
0.717 0.582 0.134 Lu
0.448 0.582 0.866 Lu
0.307 0.070 0.237 Ni
0.833 0.070 0.763 Ni
0.340 0.340 0.000 Te
0.732 0.232 0.500 Te

ii.
Dy2Er3Lu2Ni2Te2, relaxed, DFT PBE; magnetic moment = 0.00 μB per atom
1.0
-1.913 7.712 4.740
1.913 -7.712 4.740
1.913 7.712 -4.740
Dy Er Lu Ni Te
2 3 2 2 2
direct
0.948 0.582 0.366 Dy
0.216 0.582 0.634 Dy
0.876 0.729 0.147 Er
0.500 0.000 0.500 Er
0.583 0.729 0.853 Er
0.563 0.377 0.185 Lu
0.192 0.377 0.815 Lu
0.333 0.069 0.264 Ni
0.805 0.069 0.736 Ni
0.235 0.235 0.000 Te
0.838 0.338 0.500 Te

The winner here is ii, beating the second structure by 13 meV/atom.